Run P
Compound: La2MgTe
Source: the Alexandria database
Functional: PBE-GGA
Structure: optimized geometry

CIF file:
```
data_La2MgTe
_chemical_formula_sum 'La6 Mg3 Te3'
_cell_length_a 4.3939
_cell_length_b 4.3939
_cell_length_c 25.2336
_cell_angle_alpha 90.00
_cell_angle_beta 90.00
_cell_angle_gamma 120.00
_space_group_name_H-M_alt 'R -3 m'
_space_group_IT_number 166
_space_group_name_Hall '-R 3 2"'
loop_
_atom_site_label
_atom_site_fract_x
_atom_site_fract_y
_atom_site_fract_z
La1 0.0000 0.0000 0.2435
Mg1 0.0000 0.0000 0.0000
Te1 0.0000 0.0000 0.5000
```

## Properties
- Magnetization: 0.0 Bohr magnetons per cell

=====

Run Q
Compound: La2MgTe
Source: the Alexandria database
Functional: PBE-GGA
Structure: optimized geometry

CIF file:
```
data_La2MgTe
_chemical_formula_sum 'La8 Mg4 Te4'
_cell_length_a 8.870
_cell_length_b 8.870
_cell_length_c 6.830
_cell_angle_alpha 90.00
_cell_angle_beta 90.00
_cell_angle_gamma 90.00
_space_group_name_H-M_alt 'I -4 2 d'
_space_group_IT_number 122
_space_group_name_Hall 'I -4 2bw'
loop_
_atom_site_label
_atom_site_fract_x
_atom_site_fract_y
_atom_site_fract_z
La1 0.234 0.750 0.125
Mg1 0.000 0.000 0.500
Te1 0.000 0.000 0.000
```

## Properties
- Magnetization: 0.0 Bohr magnetons per cell

=====

Run R
Compound: La2MgTe
Source: the Alexandria database
Functional: PBE-GGA
Structure: optimized geometry

CIF file:
```
data_La2MgTe
_chemical_formula_sum 'La4 Mg2 Te2'
_cell_length_a 12.234
_cell_length_b 4.257
_cell_length_c 4.905
_cell_angle_alpha 90.00
_cell_angle_beta 90.13
_cell_angle_gamma 90.00
_space_group_name_H-M_alt 'C 1 m 1'
_space_group_IT_number 8
loop_
_space_group_symop_operation_xyz
'x,y,z'
'x,-y,z'
'x+1/2,y+1/2,z'
'x+1/2,-y+1/2,z'
loop_
_atom_site_label
_atom_site_fract_x
_atom_site_fract_y
_atom_site_fract_z
La1 0.000 0.000 0.000
La2 0.218 0.500 0.502
Mg1 0.450 0.000 0.499
Te1 0.276 0.000 0.002
```

## Properties
- Magnetization: 0.0 Bohr magnetons per cell

=====

Most stable pick: run R. Distance to second place: 14 meV/atom.

=====

Run P
Compound: LaThMg
Source: the Alexandria database
Functional: PBE-GGA
Structure: optimized geometry

CIF file:
```
data_LaThMg
_chemical_formula_sum 'La1 Th1 Mg1'
_cell_length_a 5.5192
_cell_length_b 5.5192
_cell_length_c 3.5068
_cell_angle_alpha 90.00
_cell_angle_beta 90.00
_cell_angle_gamma 120.00
_space_group_name_H-M_alt 'P 3 m 1'
_space_group_IT_number 156
loop_
_space_group_symop_operation_xyz
'x,y,z'
'-y,x-y,z'
'-x+y,-x,z'
'-y,-x,z'
'-x+y,y,z'
'x,x-y,z'
loop_
_atom_site_label
_atom_site_fract_x
_atom_site_fract_y
_atom_site_fract_z
La1 0.0000 0.0000 0.0000
Th1 0.3333 0.6667 0.5895
Mg1 0.6667 0.3333 0.2778
```

## Properties
- Magnetization: 0.0 Bohr magnetons per cell

=====

Run Q
Compound: LaThMg
Source: the Alexandria database
Functional: PBE-GGA
Structure: optimized geometry

CIF file:
```
data_LaThMg
_chemical_formula_sum 'La2 Th2 Mg2'
_cell_length_a 3.596
_cell_length_b 3.596
_cell_length_c 14.306
_cell_angle_alpha 90.00
_cell_angle_beta 90.00
_cell_angle_gamma 90.00
_space_group_name_H-M_alt 'P 4/n m m'
_space_group_IT_number 129
loop_
_space_group_symop_operation_xyz
'x,y,z'
'-x,-y,-z'
'-y+1/2,x,z'
'y+1/2,-x,-z'
'-x+1/2,-y+1/2,z'
'x+1/2,y+1/2,-z'
'y,-x+1/2,z'
'-y,x+1/2,-z'
'x+1/2,-y,-z'
'-x+1/2,y,z'
'-y,-x,-z'
'y,x,z'
'-x,y+1/2,-z'
'x,-y+1/2,z'
'y+1/2,x+1/2,-z'
'-y+1/2,-x+1/2,z'
loop_
_atom_site_label
_atom_site_fract_x
_atom_site_fract_y
_atom_site_fract_z
La1 0.250 0.250 0.235
Th1 0.250 0.250 0.585
Mg1 0.250 0.250 0.938
```

## Properties
- Magnetization: 0.0 Bohr magnetons per cell

=====

Run R
Compound: LaThMg
Source: the Alexandria database
Functional: PBE-GGA
Structure: optimized geometry

CIF file:
```
data_LaThMg
_chemical_formula_sum 'La4 Th4 Mg4'
_cell_length_a 3.694
_cell_length_b 17.984
_cell_length_c 5.750
_cell_angle_alpha 90.00
_cell_angle_beta 90.00
_cell_angle_gamma 90.00
_space_group_name_H-M_alt 'C m c m'
_space_group_IT_number 63
_space_group_name_Hall '-C 2c 2'
loop_
_atom_site_label
_atom_site_fract_x
_atom_site_fract_y
_atom_site_fract_z
La1 0.000 0.096 0.250
Th1 0.000 0.227 0.750
Mg1 0.000 0.436 0.250
```

## Properties
- Magnetization: 0.0 Bohr magnetons per cell

=====

Most stable pick: run Q. Distance to second place: 30 meV/atom.

=====

Run P
Compound: LaMgTi3
Source: the Alexandria database
Functional: PBE-GGA
Structure: optimized geometry

CIF file:
```
data_LaMgTi3
_chemical_formula_sum 'La1 Mg1 Ti3'
_cell_length_a 4.961
_cell_length_b 4.961
_cell_length_c 4.961
_cell_angle_alpha 90.00
_cell_angle_beta 90.00
_cell_angle_gamma 90.00
_space_group_name_H-M_alt 'P m -3 m'
_space_group_IT_number 221
_space_group_name_Hall '-P 4 2 3'
loop_
_atom_site_label
_atom_site_fract_x
_atom_site_fract_y
_atom_site_fract_z
La1 0.000 0.000 0.000
Mg1 0.500 0.500 0.500
Ti1 0.000 0.500 0.500
```

## Properties
- Magnetization: 0.0 Bohr magnetons per cell

=====

Run Q
Compound: LaMgTi3
Source: the Alexandria database
Functional: PBE-GGA
Structure: optimized geometry

CIF file:
```
data_LaMgTi3
_chemical_formula_sum 'La1 Mg1 Ti3'
_cell_length_a 4.832
_cell_length_b 4.832
_cell_length_c 4.832
_cell_angle_alpha 90.00
_cell_angle_beta 90.00
_cell_angle_gamma 90.00
_space_group_name_H-M_alt 'P m -3 m'
_space_group_IT_number 221
_space_group_name_Hall '-P 4 2 3'
loop_
_atom_site_label
_atom_site_fract_x
_atom_site_fract_y
_atom_site_fract_z
La1 0.000 0.000 0.000
Mg1 0.500 0.500 0.500
Ti1 0.000 0.000 0.500
```

## Properties
- Magnetization: 0.0 Bohr magnetons per cell

=====

Most stable pick: run P. Distance to second place: 116 meV/atom.

=====

Run P
Compound: LaMg14Ti
Source: the Alexandria database
Functional: PBE-GGA
Structure: optimized geometry

CIF file:
```
data_LaMg14Ti
_chemical_formula_sum 'La2 Mg28 Ti2'
_cell_length_a 10.482
_cell_length_b 6.279
_cell_length_c 11.544
_cell_angle_alpha 90.00
_cell_angle_beta 90.00
_cell_angle_gamma 90.00
_space_group_name_H-M_alt 'A m m 2'
_space_group_IT_number 38
loop_
_space_group_symop_operation_xyz
'x,y,z'
'-x,-y,z'
'-x,y,z'
'x,-y,z'
'x,y+1/2,z+1/2'
'-x,-y+1/2,z+1/2'
'-x,y+1/2,z+1/2'
'x,-y+1/2,z+1/2'
loop_
_atom_site_label
_atom_site_fract_x
_atom_site_fract_y
_atom_site_fract_z
La1 0.000 0.000 0.000
Mg1 0.000 0.248 0.248
Mg2 0.236 0.000 0.645
Mg3 0.254 0.246 0.400
Mg4 0.263 0.000 0.155
Mg5 0.500 0.000 0.491
Mg6 0.500 0.000 0.988
Mg7 0.500 0.246 0.740
Ti1 0.000 0.000 0.484
```

## Properties
- Magnetization: 4.0 Bohr magnetons per cell

=====

Run Q
Compound: LaMg14Ti
Source: the Alexandria database
Functional: PBE-GGA
Structure: optimized geometry

CIF file:
```
data_LaMg14Ti
_chemical_formula_sum 'La1 Mg14 Ti1'
_cell_length_a 6.5519
_cell_length_b 6.5519
_cell_length_c 10.2595
_cell_angle_alpha 90.00
_cell_angle_beta 90.00
_cell_angle_gamma 120.00
_space_group_name_H-M_alt 'P -6 m 2'
_space_group_IT_number 187
_space_group_name_Hall 'P -6 2'
loop_
_atom_site_label
_atom_site_fract_x
_atom_site_fract_y
_atom_site_fract_z
La1 0.0000 0.0000 0.0000
Mg1 0.0162 0.5081 0.0000
Mg2 0.1660 0.3320 0.2628
Mg3 0.5016 0.0033 0.5000
Mg4 0.6667 0.3333 0.2376
Ti1 0.0000 0.0000 0.5000
```

## Properties
- Magnetization: 2.0 Bohr magnetons per cell

=====

Most stable pick: run P. Distance to second place: 8 meV/atom.